La2AuCl: optimized geometry, PBE-GGA.

The structure belongs to space group R3m (No. 160, hexagonal axes); the cell edges are 4.2438, 4.2438 and 23.0363 Å and the angles 90.00°, 90.00° and 120.00°. Symmetry generates all atoms from La at (0.0000, 0.0000, 0.0000), La at (0.0000, 0.0000, 0.1787), Au at (0.0000, 0.0000, 0.5886) and Cl at (0.0000, 0.0000, 0.7589).

The value obtained for the density of states at the Fermi level is 0.7226 states/eV per atom. The excess energy over the best structure of this formula in the dataset comes out at 35 kJ/mol of formula units. As for the uncorrected formation energy: -1106 meV per atom. The total energy comes out at -58.21 eV per cell.

***

TaCuSb2I: optimized geometry, PBE-GGA.

The structure belongs to space group P4/mmm (No. 123); the cell edges are 4.982, 4.982 and 5.242 Å and the angles 90.00°, 90.00° and 90.00°. Symmetry generates all atoms from Ta at (0.000, 0.000, 0.000), Cu at (0.500, 0.500, 0.500), Sb at (0.000, 0.500, 0.500) and I at (0.500, 0.500, 0.000).

The value obtained for the density of states at the Fermi level is 1.1682 states/eV per atom. The excess energy over the best structure of this formula in the dataset comes out at 167 kJ/mol of formula units. As for the uncorrected formation energy: 1137 meV per atom. The total energy comes out at -20.06 eV per cell.

***

Tm2ThFe: optimized geometry, PBE-GGA.

The structure belongs to space group R-3m (No. 166, hexagonal axes); the cell edges are 3.3817, 3.3817 and 31.8352 Å and the angles 90.00°, 90.00° and 120.00°. Symmetry generates all atoms from Tm at (0.0000, 0.0000, 0.1075), Th at (0.0000, 0.0000, 0.0000) and Fe at (0.0000, 0.0000, 0.5000).

The value obtained for the density of states at the Fermi level is 1.3628 states/eV per atom. The excess energy over the best structure of this formula in the dataset comes out at 171 kJ/mol of formula units. For the formation energy, the calculation gives 1.30 eV per formula unit. The total energy comes out at -70.58 eV per cell.

***

Zr2CrTe: optimized geometry, PBE-GGA.

The structure belongs to space group Imm2 (No. 44); the cell edges are 3.635, 4.622 and 9.689 Å and the angles 90.00°, 90.00° and 90.00°. Symmetry generates all atoms from Zr at (0.000, 0.000, 0.000), Zr at (0.000, 0.500, 0.235), Cr at (0.000, 0.500, 0.731) and Te at (0.000, 0.000, 0.458).

The value obtained for the density of states at the Fermi level is 0.8995 states/eV per atom. As for the uncorrected formation energy: -106 meV per atom. The total energy comes out at -60.57 eV per cell.

***

Question: Number 3 is which compound?
Answer: Tm2ThFe